[1]
# PmDyMg

A relaxed structure of PmDyMg (PBE-GGA, Alexandria).

Cell and atoms, written as extended XYZ:
```
6
Lattice="2.617 -6.520 0.000 2.617 6.520 0.000 0.000 0.000 5.243" Properties=species:S:1:pos:R:3 pbc="T T T"
Pm 2.617 5.346 3.932
Pm 2.617 -5.346 1.311
Dy 2.617 1.200 3.932
Dy 2.617 -1.200 1.311
Mg 2.617 3.261 1.311
Mg 2.617 -3.261 3.932
```

## Properties
* energy above the lowest structure with this stoichiometry: 0.000 eV per atom
* energy: -22.18 eV for the cell shown

[2]
# PmDy2Mg3

A relaxed structure of PmDy2Mg3 (PBE-GGA, Alexandria).

Cell and atoms, written as extended XYZ:
```
6
Lattice="3.807 0.000 0.000 0.000 3.807 0.000 0.000 0.000 11.453" Properties=species:S:1:pos:R:3 pbc="T T T"
Pm 0.000 0.000 0.000
Dy 0.000 0.000 3.855
Dy 0.000 0.000 7.598
Mg 1.904 1.904 1.981
Mg 1.904 1.904 5.726
Mg 1.904 1.904 9.472
```

## Properties
* energy: -19.26 eV for the cell shown

[3]
# PmDyMg4

A relaxed structure of PmDyMg4 (PBE-GGA, Alexandria).

Cell and atoms, written as extended XYZ:
```
6
Lattice="0.000 4.291 4.291 4.291 0.000 4.291 4.291 4.291 0.000" Properties=species:S:1:pos:R:3 pbc="T T T"
Pm 0.000 0.000 0.000
Dy 6.437 6.437 6.437
Mg 3.219 3.219 3.219
Mg 5.363 5.363 3.219
Mg 5.363 3.219 5.363
Mg 3.219 5.363 5.363
```

## Properties
* energy above the lowest structure with this stoichiometry: 0.000 eV per atom
* energy: -16.23 eV for the cell shown

[4]
# PmDyMg

A relaxed structure of PmDyMg (PBE-GGA, Alexandria).

Cell and atoms, written as extended XYZ:
```
3
Lattice="5.487 0.000 0.000 -2.743 4.752 0.000 0.000 0.000 3.424" Properties=species:S:1:pos:R:3 pbc="T T T"
Pm 0.000 0.000 0.000
Dy 2.743 1.584 1.480
Mg 0.000 3.168 2.402
```

## Properties
* energy above the lowest structure with this stoichiometry: 0.086 eV per atom
* energy: -10.83 eV for the cell shown

[5]
# Pm7Dy2Mg2

A relaxed structure of Pm7Dy2Mg2 (PBE-GGA, Alexandria).

Cell and atoms, written as extended XYZ:
```
11
Lattice="-1.799 8.878 5.735 1.799 -8.878 5.735 1.799 8.878 -5.735" Properties=species:S:1:pos:R:3 pbc="T T T"
Pm 0.000 0.000 0.000
Pm 1.799 -3.110 2.249
Pm 1.799 6.919 -0.617
Pm 1.799 3.110 2.249
Pm 0.000 6.084 2.373
Pm 0.000 1.959 5.118
Pm 0.000 11.672 2.373
Dy 1.799 -5.031 5.175
Dy 1.799 5.031 5.175
Mg 1.799 0.000 2.904
Mg 0.000 0.000 8.014
```

## Properties
* energy above the lowest structure with this stoichiometry: 0.000 eV per atom
* energy: -44.37 eV for the cell shown

[6]
# Pm5Dy2Mg

A relaxed structure of Pm5Dy2Mg (PBE-GGA, Alexandria).

Cell and atoms, written as extended XYZ:
```
8
Lattice="0.000 5.721 6.274 3.620 0.000 6.274 3.620 5.721 0.000" Properties=species:S:1:pos:R:3 pbc="T T T"
Pm 0.000 0.000 0.000
Pm 5.356 5.721 3.028
Pm 1.810 2.860 5.143
Pm 1.883 5.721 3.028
Pm 5.429 8.581 11.418
Dy 3.620 2.951 8.254
Dy 3.620 8.490 8.254
Mg 3.620 5.721 6.203
```

## Properties
* energy above the lowest structure with this stoichiometry: 0.000 eV per atom
* energy: -34.55 eV for the cell shown

Computed values of calculated volume (unit: A^3/atom) for the preceding records, in sequence: 29.81; 27.67; 26.34; 29.76; 33.30; 32.48.
Computed values of theoretical density (unit: g cm⁻³) for the preceding records, in sequence: 6.2; 5.4; 4.3; 6.2; 6.3; 6.9.